ZrV3Rh: optimized geometry, PBE. Values from VASP.

Symmetry = Pm-3m (221)
Energy above the lowest structure with this stoichiometry = 446.4 kJ/mol of formula units
V = 18.930 A^3/atom
Crystal system = cubic

The structure in Quantum ESPRESSO input format:
```
&SYSTEM
  ibrav = 0, nat = 5, ntyp = 3
/
ATOMIC_SPECIES
Zr 91.22 Zr.upf
V 50.94 V.upf
Rh 102.91 Rh.upf
CELL_PARAMETERS angstrom
4.557 0.000 0.000
0.000 4.557 0.000
0.000 0.000 4.557
ATOMIC_POSITIONS crystal
Zr 0.000 0.000 0.000
V 0.000 0.000 0.500
V 0.000 0.500 0.000
V 0.500 0.000 0.000
Rh 0.500 0.500 0.500
```